No. 1
A plane-wave DFT calculation with PBE was carried out for a geometry-optimized ZrFeNiS2 structure.

a = 4.261 Å, b = 4.839 Å, c = 4.261 Å
α = 90.00°, β = 90.00°, γ = 90.00°
Site moments in Bohr magnetons follow the coordinates.
Fractional positions:
Ni1 0.500 0.500 0.500  0.02
S1 0.000 0.000 0.500  0.06
S2 0.500 0.000 0.000  0.15
Fe1 0.000 0.000 0.000  1.07
Zr1 0.000 0.500 0.000  -0.11

## Properties
Formation energy (no corrections): 0.406 eV per atom
Calculated total energy: -29.02 eV per cell
Symmetry: No. 123
Volume: 17.6 Å³/atom


No. 2
A plane-wave DFT calculation with PBE was carried out for a geometry-optimized LiNdHfGa structure.

a = 4.963 Å, b = 4.963 Å, c = 4.963 Å
α = 60.00°, β = 60.00°, γ = 60.00°
Fractional positions:
Nd1 0.750 0.750 0.750
Hf1 0.250 0.250 0.250
Ga1 0.000 0.000 0.000
Li1 0.500 0.500 0.500

## Properties
Calculated total energy: -20.09 eV per cell
Symmetry: No. 216
Volume: 21.6 Å³/atom


No. 3
A plane-wave DFT calculation with PBE was carried out for a geometry-optimized SmAlSi2 structure.

a = 4.055 Å, b = 4.337 Å, c = 4.337 Å
α = 90.00°, β = 90.00°, γ = 90.00°
Fractional positions:
Si1 0.000 0.000 0.500
Si2 0.000 0.500 0.000
Al1 0.500 0.500 0.500
Sm1 0.500 0.000 0.000

## Properties
Formation energy (no corrections): -0.266 eV per atom
Calculated total energy: -20.37 eV per cell
Symmetry: No. 123
Volume: 19.1 Å³/atom


No. 4
A plane-wave DFT calculation with PBE was carried out for a geometry-optimized NbIF2 structure.

a = 10.758 Å, b = 10.758 Å, c = 10.758 Å
α = 16.23°, β = 16.23°, γ = 16.23°
Fractional positions:
I1 0.000 0.000 0.000
Nb1 0.500 0.500 0.500
F1 0.879 0.879 0.879
F2 0.121 0.121 0.121

## Properties
Formation energy (no corrections): -1.389 eV per atom
Calculated total energy: -20.92 eV per cell
Symmetry: No. 166
Energy above the lowest structure with this stoichiometry: 0.009 eV per atom
Volume: 21.2 Å³/atom


No. 5
A plane-wave DFT calculation with PBE was carried out for a geometry-optimized Ba2ScCl structure.

a = 6.157 Å, b = 6.157 Å, c = 6.157 Å
α = 60.00°, β = 60.00°, γ = 60.00°
Site moments in Bohr magnetons follow the coordinates.
Fractional positions:
Sc1 0.500 0.500 0.500  0.31
Ba1 0.250 0.250 0.250  0.02
Ba2 0.750 0.750 0.750  0.02
Cl1 0.000 0.000 0.000  0.00

## Properties
Formation energy (no corrections): -0.106 eV per atom
Calculated total energy: -12.45 eV per cell
Symmetry: No. 225
Energy above the lowest structure with this stoichiometry: 0.508 eV per atom
Volume: 41.3 Å³/atom


No. 6
A plane-wave DFT calculation with PBE was carried out for a geometry-optimized DyYMgTl structure.

a = 5.339 Å, b = 5.339 Å, c = 5.339 Å
α = 60.00°, β = 60.00°, γ = 60.00°
Fractional positions:
Y1 0.750 0.750 0.750
Tl1 0.500 0.500 0.500
Mg1 0.000 0.000 0.000
Dy1 0.250 0.250 0.250

## Properties
Calculated total energy: -16.03 eV per cell
Symmetry: No. 216
Volume: 26.9 Å³/atom